An optimized crystal structure of Dy4TlIn5, computed with PBE-GGA.

Computed properties:
- Calculated formation energy: -0.15 eV/atom
- Calculated total energy: -3.592 eV per atom

abc: 7.2171 10.3498 7.7625
angles: 90.00 90.00 90.00
Space group Pmmn (No. 59, origin choice 2)
Asymmetric unit:
Dy (0.0009, 0.2500, 0.1927) x4
Dy (0.2500, 0.0670, 0.5089) x4
Tl (0.2500, 0.7500, 0.4664) x2
In (0.0469, 0.5564, 0.1746) x8
In (0.2500, 0.2500, 0.8583) x2